Record 1
# Zn2CdAg4 (GGA-PBE, relaxed)
data_Zn2CdAg4
_chemical_formula_sum 'Zn6 Cd3 Ag12'
_cell_length_a 4.6248
_cell_length_b 4.6248
_cell_length_c 19.8260
_cell_angle_alpha 90.00
_cell_angle_beta 90.00
_cell_angle_gamma 120.00
_symmetry_space_group_name_H-M 'R -3 m'
_symmetry_Int_Tables_number 166
_symmetry_space_group_name_Hall '-R 3 2"'
loop_
_atom_site_label
_atom_site_fract_x
_atom_site_fract_y
_atom_site_fract_z
_atom_site_occupancy
Zn1 0.0000 0.0000 0.2213 1
Cd1 0.0000 0.0000 0.5000 1
Ag1 0.0000 0.0000 0.0777 1
Ag2 0.0000 0.0000 0.3564 1
# Formation enthalpy at 0 K = 0.01 eV/atom
# Total magnetization = 0.00 μB per formula unit

---

Record 2
# Dy4HoTm2Th (GGA-PBE, relaxed)
data_Dy4HoTm2Th
_chemical_formula_sum 'Dy4 Ho1 Tm2 Th1'
_cell_length_a 4.990
_cell_length_b 5.000
_cell_length_c 9.999
_cell_angle_alpha 90.00
_cell_angle_beta 90.00
_cell_angle_gamma 90.00
_symmetry_space_group_name_H-M 'P m m m'
_symmetry_Int_Tables_number 47
_symmetry_space_group_name_Hall '-P 2 2'
loop_
_atom_site_label
_atom_site_fract_x
_atom_site_fract_y
_atom_site_fract_z
_atom_site_occupancy
Dy1 0.000 0.000 0.249 1
Dy2 0.500 0.500 0.249 1
Ho1 0.000 0.500 0.500 1
Tm1 0.000 0.500 0.000 1
Tm2 0.500 0.000 0.500 1
Th1 0.500 0.000 0.000 1
# Formation enthalpy at 0 K = 0.03 eV/atom
# Total magnetization = 0.00 μB per formula unit

---

Record 3
# In2Ge3Br8 (GGA-PBE, relaxed)
data_In2Ge3Br8
_chemical_formula_sum 'In4 Ge6 Br16'
_cell_length_a 16.060
_cell_length_b 8.298
_cell_length_c 7.258
_cell_angle_alpha 90.00
_cell_angle_beta 108.08
_cell_angle_gamma 90.00
_symmetry_space_group_name_H-M 'C 1 2/m 1'
_symmetry_Int_Tables_number 12
_symmetry_space_group_name_Hall '-C 2y'
loop_
_atom_site_label
_atom_site_fract_x
_atom_site_fract_y
_atom_site_fract_z
_atom_site_occupancy
In1 0.242 0.000 0.171 1
Ge1 0.000 0.239 0.500 1
Ge2 0.000 0.500 0.000 1
Br1 0.104 0.261 0.896 1
Br2 0.107 0.000 0.443 1
Br3 0.107 0.500 0.394 1
# ΔE_f (raw) = -7.59 eV/f.u.
# Total magnetization = 0.00 μB per formula unit

---

Record 4
# NpP2H (GGA-PBE, relaxed)
data_NpP2H
_chemical_formula_sum 'Np3 P6 H3'
_cell_length_a 4.1263
_cell_length_b 4.1263
_cell_length_c 17.7863
_cell_angle_alpha 90.00
_cell_angle_beta 90.00
_cell_angle_gamma 120.00
_symmetry_space_group_name_H-M 'R -3 m'
_symmetry_Int_Tables_number 166
_symmetry_space_group_name_Hall '-R 3 2"'
loop_
_atom_site_label
_atom_site_fract_x
_atom_site_fract_y
_atom_site_fract_z
_atom_site_occupancy
Np1 0.0000 0.0000 0.0000 1
P1 0.0000 0.0000 0.4052 1
H1 0.0000 0.0000 0.5000 1
# E_tot = -27.06 eV per formula unit
# Total magnetization = 2.06 μB per formula unit

---

Q: total magnetization of number 1 (Zn2CdAg4)?
A: 0.00 μB per formula unit